Entry 1:
Material: SrCoNiTe3
Method: DFT, PBE
State: relaxed

Summary:
Crystal system: orthorhombic
ΔE to the lowest computed polymorph (meV/atom): 54

CIF file:
```
data_SrCoNiTe3
_chemical_formula_sum 'Sr4 Co4 Ni4 Te12'
_cell_length_a 3.962
_cell_length_b 13.953
_cell_length_c 10.318
_cell_angle_alpha 90.00
_cell_angle_beta 90.00
_cell_angle_gamma 90.00
_space_group_name_H-M_alt 'C m c m'
_space_group_IT_number 63
_space_group_name_Hall '-C 2c 2'
loop_
_atom_site_label
_atom_site_type_symbol
_atom_site_fract_x
_atom_site_fract_y
_atom_site_fract_z
Sr1 Sr 0.000 0.242 0.250
Co1 Co 0.000 0.456 0.750
Ni1 Ni 0.000 0.000 0.000
Te1 Te 0.000 0.059 0.750
Te2 Te 0.000 0.373 0.536
```

Entry 2:
Material: LuFeCoAs
Method: DFT, PBE
State: relaxed

Summary:
Crystal system: cubic
ΔE to the lowest computed polymorph (meV/atom): 146

CIF file:
```
data_LuFeCoAs
_chemical_formula_sum 'Lu4 Fe4 Co4 As4'
_cell_length_a 6.313
_cell_length_b 6.313
_cell_length_c 6.313
_cell_angle_alpha 90.00
_cell_angle_beta 90.00
_cell_angle_gamma 90.00
_space_group_name_H-M_alt 'F -4 3 m'
_space_group_IT_number 216
_space_group_name_Hall 'F -4 2 3'
loop_
_atom_site_label
_atom_site_type_symbol
_atom_site_fract_x
_atom_site_fract_y
_atom_site_fract_z
Lu1 Lu 0.000 0.000 0.000
Fe1 Fe 0.250 0.250 0.750
Co1 Co 0.000 0.000 0.500
As1 As 0.250 0.250 0.250
```

- Among the records above, which one has the highest ΔE to the lowest computed polymorph?
  LuFeCoAs

- Among the records above, which one has the highest ΔE to the lowest computed polymorph?
  LuFeCoAs

- The lowest ΔE to the lowest computed polymorph belongs to which entry?
  SrCoNiTe3